Record 1
LiDyHoMn: optimized geometry, PBE.

Calculated values
- energy of formation from the pure elements (eV per atom) = 0.12
- total energy (Ry/atom) = -0.36377

a b c (Å): 5.004 5.004 5.004
angles (deg): 60.00 60.00 60.00
Fractional coordinates of all 4 atoms:
Li  0.000  0.000  0.000
Dy  0.250  0.250  0.250
Ho  0.750  0.750  0.750
Mn  0.500  0.500  0.500

---

Record 2
VCdSb3: optimized geometry, PBE.

Calculated values
- total energy (Ry/atom) = -0.24504
- formation energy from raw total energies (eV/atom) = 1.1463

a b c (Å): 5.454 5.454 5.454
angles (deg): 90.00 90.00 90.00
Fractional coordinates of all 5 atoms:
V  0.000  0.000  0.000
Cd  0.500  0.500  0.500
Sb  0.000  0.500  0.500
Sb  0.500  0.000  0.500
Sb  0.500  0.500  0.000

---

Record 3
Pm2NdIn3: optimized geometry, PBE.

Calculated values
- energy of formation from the pure elements (eV per atom) = -0.50
- total energy (Ry/atom) = -0.31187

a b c (Å): 3.859 3.859 11.562
angles (deg): 90.00 90.00 90.00
Fractional coordinates of all 6 atoms:
Pm  0.000  0.000  0.166
Pm  0.000  0.000  0.834
Nd  0.000  0.000  0.500
In  0.500  0.500  0.000
In  0.500  0.500  0.331
In  0.500  0.500  0.669